A relaxed structure of Ta4ZnC2S. Source: OQMD via LeMat-Bulk, functional PBE.

The structure belongs to space group P-6m2 (No. 187); the cell edges are 3.2055, 3.2055 and 12.6545 Å and the angles 90.00°, 90.00° and 120.00°. The asymmetric unit holds Ta at (0.0000, 0.0000, 0.1425), Ta at (0.3333, 0.6667, 0.3276), Zn at (0.0000, 0.0000, 0.5000), C at (0.6667, 0.3333, 0.2384) and S at (0.3333, 0.6667, 0.0000).

The calculation puts the total energy at -75.56 eV/cell. The calculated volume comes out at 113 Å³ per cell. Its crystal system is hexagonal.